A geometry-optimized BaCa2Pt structure. Source: Alexandria, functional PBE.

abc: 9.7233 9.7233 7.6128
angles: 50.31 50.31 90.00
Closest atoms and distances in Å follow each position.
Positions (direct):
Ba 0.5000 0.5000 0.0000  2 Pt 3.27
Ba 0.2500 0.7500 0.5000  2 Pt 3.27
Ca 0.0120 0.6250 0.2500  2 Pt 2.89
Ca 0.8750 0.9880 0.7500  2 Pt 2.89
Ca 0.3750 0.2620 0.7500  2 Pt 2.89
Ca 0.7380 0.1250 0.2500  2 Pt 2.89
Pt 0.0000 0.0000 0.0000  4 Ca 2.89
Pt 0.7500 0.2500 0.5000  4 Ca 2.89

Space-group type ... No. 122
Energy of formation from the pure elements ... -0.39 eV/atom